# 1
Material: Hf2C2Se
Method: DFT, PBE
State: relaxed

DFT total energy	-0.62851	Ry per atom
DOS(E_F)	2.96	states/eV/cell

abc: 6.824 6.824 3.193
angles: 90.00 90.00 90.00
Space group P4/mbm (No. 127)
Symmetry-distinct sites (fractional):
Hf: 0.159 0.341 0.000 [4 per cell]
C: 0.079 0.579 0.500 [4 per cell]
Se: 0.000 0.000 0.000 [2 per cell]

=====

# 2
Material: LaTaRe2
Method: DFT, PBE
State: relaxed

energy of formation from the pure elements	0.55	eV per atom
DOS(E_F)	5.76	states/eV/cell

abc: 6.017 9.186 2.884
angles: 90.00 111.67 90.00
Space group C2/m (No. 12)
Symmetry-distinct sites (fractional):
La: 0.000 0.000 0.000 [2 per cell]
Ta: 0.000 0.500 0.000 [2 per cell]
Re: 0.250 0.250 0.500 [4 per cell]